# FeS2F

A geometry-optimized FeS2F structure (PBE with a Hubbard U, Alexandria).

abc: 4.1834 4.1834 4.1834
angles: 60.00 60.00 60.00
Closest atoms and distances in Å follow each position.
Atoms (fractional coordinates):
S1 0.2500 0.2500 0.2500  4 F 2.56, 4 Fe 2.56
S2 0.7500 0.7500 0.7500  4 F 2.56, 4 Fe 2.56
Fe1 0.5000 0.5000 0.5000  8 S 2.56
F1 0.0000 0.0000 0.0000  8 S 2.56

**Calculated total energy**: -3.547 eV/atom
**Spin magnetization**: 1.2 μB/cell